# 1
A relaxed structure of BaLaSnAu. Source: the Alexandria database, functional PBE.

Calculated values
The volume is 32.4 A^3/atom. The calculation puts the formation energy at -2.64 eV/f.u. The value obtained for the density of states at the Fermi level is 2.59 states/eV per cell.

abc: 8.0309 8.0309 8.0309
angles: 90.00 90.00 90.00
Closest atoms and distances in Å follow each position.
Space group F-43m (No. 216)
One atom of each set of equivalent atoms:
Ba1 0.0000 0.0000 0.0000 x4  4 Au 3.48, 4 Sn 3.48
La1 0.0000 0.0000 0.5000 x4  4 Sn 3.48, 4 Au 3.48
Sn1 0.2500 0.2500 0.2500 x4  4 Ba 3.48, 4 La 3.48
Au1 0.2500 0.2500 0.7500 x4  4 Ba 3.48, 4 La 3.48


# 2
A relaxed structure of Ba2SrLaAu. Source: the Alexandria database, functional PBE.

Calculated values
The value obtained for the energy above the most stable polymorph in this dataset is 0.0000 eV per atom. The volume is 50.7 A^3/atom. The calculation puts the formation energy at -0.93 eV/f.u. The value obtained for the density of states at the Fermi level is 6.79 states/eV per cell.

abc: 6.5589 6.5589 5.8948
angles: 90.00 90.00 90.00
Closest atoms and distances in Å follow each position.
Space group P4/mmm (No. 123)
One atom of each set of equivalent atoms:
Ba1 0.0000 0.5000 0.0000 x2  2 Au 3.28
Sr1 0.0000 0.0000 0.5000 x1  8 Ba 4.41, 4 La 4.64
La1 0.5000 0.5000 0.5000 x1  2 Au 2.95
Au1 0.5000 0.5000 0.0000 x1  2 La 2.95, 4 Ba 3.28


# 3
A relaxed structure of Ba2SrLaAu. Source: the Alexandria database, functional PBE.

Calculated values
The value obtained for the energy above the most stable polymorph in this dataset is 0.1181 eV per atom. The volume is 47.1 A^3/atom. The calculation puts the formation energy at -0.34 eV/f.u. The value obtained for the density of states at the Fermi level is 7.02 states/eV per cell.

abc: 6.2547 6.2547 6.0178
angles: 90.00 90.00 90.00
Closest atoms and distances in Å follow each position.
Space group P4/mmm (No. 123)
One atom of each set of equivalent atoms:
Ba1 0.0000 0.5000 0.0000 x2  2 Au 3.13
Sr1 0.0000 0.0000 0.5000 x1  2 Au 3.01
La1 0.5000 0.5000 0.5000 x1  8 Ba 4.34, 4 Sr 4.42
Au1 0.0000 0.0000 0.0000 x1  2 Sr 3.01, 4 Ba 3.13